# 1
The following is a PBE calculation of crystalline KSr2Mn at its relaxed geometry, from Alexandria via LeMat-Bulk.

Unit cell a=12.1069 b=12.1069 c=12.1069 alpha=20.38 beta=20.38 gamma=20.38
Closest atoms and distances in Å follow each position.
Atoms (fractional coordinates):
1 Sr 0.9749 0.9749 0.9749  3 Mn 3.23
2 Sr 0.5251 0.5251 0.5251  3 Mn 3.23
3 Mn 0.2500 0.2500 0.2500  6 Sr 3.23
4 K 0.7500 0.7500 0.7500  6 K 4.28, 6 Sr 4.58

The calculation puts the formation enthalpy at 0 K at 42.65 kJ/mol of atoms. The calculation puts the energy above the most stable polymorph in this dataset at 0.34 eV/f.u. Its space group is R-3m. The energy comes out at -2.966 eV/atom.

***

# 2
The following is a PBE calculation of crystalline K5Ag at its relaxed geometry, from Alexandria via LeMat-Bulk.

Unit cell a=8.0166 b=8.0166 c=8.0166 alpha=60.00 beta=60.00 gamma=60.00
Closest atoms and distances in Å follow each position.
Atoms (fractional coordinates):
1 K 0.6261 0.6261 0.1218  6 K 3.97-4.04
2 K 0.6261 0.1218 0.6261  6 K 3.97-4.04
3 K 0.6261 0.6261 0.6261  6 K 3.97-4.04
4 K 0.2500 0.2500 0.2500  12 K 4.70, 4 Ag 4.91
5 K 0.1218 0.6261 0.6261  6 K 3.97-4.04
6 Ag 0.0000 0.0000 0.0000  16 K 4.70-4.91

The calculation puts the formation enthalpy at 0 K at 22.87 kJ/mol of atoms. The calculation puts the energy above the most stable polymorph in this dataset at 1.26 eV/f.u. Its space group is F-43m. The energy comes out at -1.153 eV/atom.

***

# 3
The following is a PBE calculation of crystalline VZnI3 at its relaxed geometry, from Alexandria via LeMat-Bulk.

Unit cell a=5.5675 b=5.5675 c=5.5675 alpha=90.00 beta=90.00 gamma=90.00
Closest atoms and distances in Å follow each position.
Atoms (fractional coordinates):
1 I 0.0000 0.5000 0.0000  2 Zn 2.78
2 I 0.5000 0.0000 0.0000  2 Zn 2.78
3 I 0.0000 0.0000 0.5000  2 Zn 2.78
4 Zn 0.0000 0.0000 0.0000  6 I 2.78
5 V 0.5000 0.5000 0.5000  12 I 3.94

The calculation puts the energy above the most stable polymorph in this dataset at 1.92 eV/f.u. Its space group is Pm-3m. The energy relative to the elements, uncorrected comes out at 0.407 eV/atom. The energy comes out at -2.602 eV/atom.

***

# 4
The following is a PBE calculation of crystalline MgCd2Mo at its relaxed geometry, from Alexandria via LeMat-Bulk.

Unit cell a=4.0759 b=4.0759 c=10.5349 alpha=78.85 beta=78.85 gamma=90.00
Closest atoms and distances in Å follow each position.
Atoms (fractional coordinates):
1 Cd 0.3750 0.3683 0.7500  4 Cd 2.84-2.92, 2 Mo 2.91, 2 Mg 2.92
2 Cd 0.1183 0.6250 0.2500  4 Cd 2.84-2.92, 2 Mo 2.91, 2 Mg 2.92
3 Cd 0.8750 0.8817 0.7500  4 Cd 2.84-2.92, 2 Mo 2.91, 2 Mg 2.92
4 Cd 0.6317 0.1250 0.2500  4 Cd 2.84-2.92, 2 Mo 2.91, 2 Mg 2.92
5 Mo 0.7500 0.2500 0.5000  4 Mg 2.88, 4 Cd 2.91
6 Mo 0.0000 0.0000 0.0000  4 Mg 2.88, 4 Cd 2.91
7 Mg 0.5000 0.5000 0.0000  4 Mo 2.88, 4 Cd 2.92
8 Mg 0.2500 0.7500 0.5000  4 Mo 2.88, 4 Cd 2.92

The calculation puts the formation enthalpy at 0 K at 68.24 kJ/mol of atoms. Its space group is I-42d. The energy comes out at -2.857 eV/atom.

***

# 5
The following is a PBE calculation of crystalline LiBSe2 at its relaxed geometry, from Alexandria via LeMat-Bulk.

Unit cell a=6.7758 b=3.9539 c=3.9539 alpha=133.01 beta=112.62 gamma=67.38
Closest atoms and distances in Å follow each position.
Atoms (fractional coordinates):
1 Se 0.7812 0.6750 0.3250  2 B 2.17
2 Se 0.2188 0.3250 0.6750  2 B 2.17
3 B 0.0000 0.0000 0.0000  4 Se 2.17
4 Li 0.5000 0.5000 0.5000  6 Se 2.70-2.81

Its space group is C2/m. The energy relative to the elements, uncorrected comes out at -0.009 eV/atom. The energy comes out at -3.899 eV/atom.

***

# 6
The following is a PBE calculation of crystalline YThAu2 at its relaxed geometry, from Alexandria via LeMat-Bulk.

Unit cell a=5.1972 b=5.1972 c=5.1972 alpha=60.00 beta=60.00 gamma=60.00
Closest atoms and distances in Å follow each position.
Atoms (fractional coordinates):
1 Y 0.5000 0.5000 0.5000  8 Au 3.18
2 Au 0.2500 0.2500 0.2500  4 Y 3.18, 4 Th 3.18
3 Au 0.7500 0.7500 0.7500  4 Th 3.18, 4 Y 3.18
4 Th 0.0000 0.0000 0.0000  8 Au 3.18

The calculation puts the formation enthalpy at 0 K at -66.16 kJ/mol of atoms. The calculation puts the energy above the most stable polymorph in this dataset at 0.26 eV/f.u. Its space group is Fm-3m. The energy comes out at -5.795 eV/atom.

***

# 7
The following is a PBE calculation of crystalline MgSiOsRh at its relaxed geometry, from Alexandria via LeMat-Bulk.

Unit cell a=4.2509 b=4.2509 c=4.2509 alpha=60.00 beta=60.00 gamma=60.00
Closest atoms and distances in Å follow each position.
Atoms (fractional coordinates):
1 Os 0.0000 0.0000 0.0000  4 Mg 2.60, 4 Si 2.60
2 Mg 0.2500 0.2500 0.2500  4 Rh 2.60, 4 Os 2.60
3 Rh 0.5000 0.5000 0.5000  4 Si 2.60, 4 Mg 2.60
4 Si 0.7500 0.7500 0.7500  4 Os 2.60, 4 Rh 2.60

Its space group is F-43m. The energy relative to the elements, uncorrected comes out at -0.396 eV/atom. The energy comes out at -6.796 eV/atom.

***

# 8
The following is a PBE calculation of crystalline Dy4Sb3O at its relaxed geometry, from Alexandria via LeMat-Bulk.

Unit cell a=6.1493 b=6.1480 c=11.9717 alpha=90.00 beta=90.00 gamma=90.00
Closest atoms and distances in Å follow each position.
Atoms (fractional coordinates):
1 Dy 0.5595 0.7575 0.7483  5 Sb 3.01-3.08, 1 O 3.02
2 Dy 0.5595 0.7575 0.2517  5 Sb 3.01-3.08, 1 O 3.02
3 Dy 0.0623 0.8462 0.0000  1 O 2.11
4 Dy 0.0595 0.2425 0.2483  5 Sb 3.01-3.08, 1 O 3.02
5 Dy 0.5623 0.1538 0.5000  1 O 2.11
6 Dy 0.1580 0.7467 0.5000  1 O 2.11
7 Dy 0.0595 0.2425 0.7517  5 Sb 3.01-3.08, 1 O 3.02
8 Dy 0.6580 0.2533 0.0000  1 O 2.11
9 Sb 0.5633 0.7541 0.0000  6 Dy 3.01-3.13
10 Sb 0.5592 0.2576 0.7496  6 Dy 3.06-3.08
11 Sb 0.0633 0.2459 0.5000  6 Dy 3.01-3.13
12 Sb 0.5592 0.2576 0.2504  6 Dy 3.06-3.08
13 Sb 0.0592 0.7424 0.2496  6 Dy 3.06-3.08
14 Sb 0.0592 0.7424 0.7504  6 Dy 3.06-3.08
15 O 0.4943 0.8170 0.5000  2 Dy 2.11
16 O 0.9943 0.1830 0.0000  2 Dy 2.11

Its space group is Pmn2_1. The energy relative to the elements, uncorrected comes out at -1.428 eV/atom. The energy comes out at -5.895 eV/atom.

***

# 9
The following is a PBE calculation of crystalline Tl3PdPt at its relaxed geometry, from Alexandria via LeMat-Bulk.

Unit cell a=5.2738 b=5.2738 c=5.2738 alpha=90.00 beta=90.00 gamma=90.00
Closest atoms and distances in Å follow each position.
Atoms (fractional coordinates):
1 Tl 0.0000 0.5000 0.0000  2 Pt 2.64
2 Tl 0.0000 0.0000 0.5000  2 Pt 2.64
3 Tl 0.5000 0.0000 0.0000  2 Pt 2.64
4 Pt 0.0000 0.0000 0.0000  6 Tl 2.64
5 Pd 0.5000 0.5000 0.5000  12 Tl 3.73

The calculation puts the formation enthalpy at 0 K at 28.81 kJ/mol of atoms. The calculation puts the energy above the most stable polymorph in this dataset at 1.89 eV/f.u. Its space group is Pm-3m. The energy comes out at -3.368 eV/atom.

***

# 10
The following is a PBE calculation of crystalline RbB2F at its relaxed geometry, from Alexandria via LeMat-Bulk.

Unit cell a=3.4309 b=3.4309 c=14.9964 alpha=83.43 beta=83.43 gamma=90.00
Closest atoms and distances in Å follow each position.
Atoms (fractional coordinates):
1 B 0.3750 0.6250 0.7500  2 B 1.72
2 B 0.8750 0.6250 0.7500  2 B 1.72
3 B 0.3750 0.1250 0.2500  2 B 1.72
4 B 0.3750 0.6250 0.2500  2 B 1.72
5 Rb 0.7500 0.2500 0.5000  4 F 2.43
6 Rb 0.0000 0.0000 0.0000  4 F 2.43
7 F 0.2500 0.7500 0.5000  4 Rb 2.43
8 F 0.5000 0.5000 0.0000  4 Rb 2.43

The calculation puts the energy above the most stable polymorph in this dataset at 0.00 eV/f.u. Its space group is I4_1/amd. The energy relative to the elements, uncorrected comes out at -0.161 eV/atom. The energy comes out at -4.210 eV/atom.

***

# 11
The following is a PBE calculation of crystalline In3IrCl at its relaxed geometry, from Alexandria via LeMat-Bulk.

Unit cell a=4.9921 b=4.9921 c=10.9768 alpha=90.00 beta=90.00 gamma=120.00
Closest atoms and distances in Å follow each position.
Atoms (fractional coordinates):
1 In 0.3333 0.6667 0.0096  1 Cl 2.85, 3 Ir 2.88, 3 In 2.89
2 In 0.6667 0.3333 0.9904  1 Cl 2.85, 3 Ir 2.88, 3 In 2.89
3 In 0.0000 0.0000 0.7500  2 Ir 2.74, 3 Cl 2.88
4 In 0.0000 0.0000 0.2500  2 Ir 2.74, 3 Cl 2.88
5 In 0.3333 0.6667 0.4904  1 Cl 2.85, 3 Ir 2.88, 3 In 2.89
6 In 0.6667 0.3333 0.5096  1 Cl 2.85, 3 Ir 2.88, 3 In 2.89
7 Cl 0.3333 0.6667 0.7500  5 In 2.85-2.88
8 Cl 0.6667 0.3333 0.2500  5 In 2.85-2.88
9 Ir 0.0000 0.0000 0.5000  8 In 2.74-2.88
10 Ir 0.0000 0.0000 0.0000  8 In 2.74-2.88

The calculation puts the energy above the most stable polymorph in this dataset at 0.75 eV/f.u. Its space group is P6_3/mmc. The energy relative to the elements, uncorrected comes out at -0.287 eV/atom. The energy comes out at -4.072 eV/atom.

***

# 12
The following is a PBE calculation of crystalline Zr3Ti2Ge3 at its relaxed geometry, from Alexandria via LeMat-Bulk.

Unit cell a=5.4004 b=7.9121 c=7.9121 alpha=120.00 beta=90.00 gamma=90.00
Closest atoms and distances in Å follow each position.
Atoms (fractional coordinates):
1 Ge 0.2500 0.6031 0.6031  5 Zr 2.75-2.94, 4 Ti 2.78
2 Ge 0.7500 0.6031 0.0000  5 Zr 2.75-2.94, 4 Ti 2.78
3 Ge 0.2500 0.3969 0.0000  5 Zr 2.75-2.94, 4 Ti 2.78
4 Ge 0.2500 0.0000 0.3969  5 Zr 2.75-2.94, 4 Ti 2.78
5 Ge 0.7500 0.3969 0.3969  5 Zr 2.75-2.94, 4 Ti 2.78
6 Ge 0.7500 0.0000 0.6031  5 Zr 2.75-2.94, 4 Ti 2.78
7 Zr 0.2500 0.7490 0.0000  5 Ge 2.75-2.94
8 Zr 0.7500 0.2510 0.0000  5 Ge 2.75-2.94
9 Zr 0.2500 0.0000 0.7490  5 Ge 2.75-2.94
10 Zr 0.2500 0.2510 0.2510  5 Ge 2.75-2.94
11 Zr 0.7500 0.7490 0.7490  5 Ge 2.75-2.94
12 Zr 0.7500 0.0000 0.2510  5 Ge 2.75-2.94
13 Ti 0.5000 0.3333 0.6667  2 Ti 2.70, 6 Ge 2.78
14 Ti 0.5000 0.6667 0.3333  2 Ti 2.70, 6 Ge 2.78
15 Ti 0.0000 0.6667 0.3333  2 Ti 2.70, 6 Ge 2.78
16 Ti 0.0000 0.3333 0.6667  2 Ti 2.70, 6 Ge 2.78

The calculation puts the formation enthalpy at 0 K at -77.92 kJ/mol of atoms. Its space group is P6_3/mcm. The energy comes out at -7.718 eV/atom.